! KGa2Cl7 | Alexandria | PBE | optimized geometry; values from VASP
! raw total energy	-3.345	eV/atom
! space group	Pna2_1 (33)
! energy relative to the elements, uncorrected	-1337	meV/atom
&SYSTEM
  ibrav = 0, nat = 40, ntyp = 3
/
ATOMIC_SPECIES
K 39.10 K.upf
Ga 69.72 Ga.upf
Cl 35.45 Cl.upf
ATOMIC_POSITIONS crystal
K 0.1048 0.1527 0.0000
K 0.3952 0.6527 0.5000
K 0.6048 0.3473 0.0000
K 0.8952 0.8473 0.5000
Ga 0.1219 0.5958 0.8452
Ga 0.1741 0.0376 0.6129
Ga 0.3259 0.5376 0.1129
Ga 0.3781 0.0958 0.3452
Ga 0.6219 0.9042 0.8452
Ga 0.6741 0.4624 0.6129
Ga 0.8259 0.9624 0.1129
Ga 0.8781 0.4042 0.3452
Cl 0.0140 0.1099 0.6540
Cl 0.0213 0.7604 0.7906
Cl 0.0391 0.4564 0.9685
Cl 0.1673 0.8605 0.4927
Cl 0.2110 0.5097 0.6850
Cl 0.2295 0.5281 0.2872
Cl 0.2503 0.1964 0.4791
Cl 0.2497 0.6964 0.9791
Cl 0.2705 0.0281 0.7872
Cl 0.2890 0.0097 0.1850
Cl 0.3327 0.3605 0.9927
Cl 0.4609 0.9564 0.4685
Cl 0.4787 0.2604 0.2906
Cl 0.4860 0.6099 0.1540
Cl 0.5140 0.3901 0.6540
Cl 0.5213 0.7396 0.7906
Cl 0.5391 0.0436 0.9685
Cl 0.6673 0.6395 0.4927
Cl 0.7110 0.9903 0.6850
Cl 0.7295 0.9719 0.2872
Cl 0.7503 0.3036 0.4791
Cl 0.7497 0.8036 0.9791
Cl 0.7705 0.4719 0.7872
Cl 0.7890 0.4903 0.1850
Cl 0.8327 0.1395 0.9927
Cl 0.9609 0.5436 0.4685
Cl 0.9787 0.2396 0.2906
Cl 0.9860 0.8901 0.1540
CELL_PARAMETERS angstrom
12.5636 0.0000 0.0000
0.0000 10.2310 0.0000
0.0000 0.0000 10.2538

! SrMgSe3 | Alexandria | PBE | optimized geometry; values from VASP
! offset from the most stable computed form	0	meV/atom
! raw total energy	-3.648	eV/atom
! space group	Pm-3m (221)
! energy relative to the elements, uncorrected	-902	meV/atom
&SYSTEM
  ibrav = 0, nat = 5, ntyp = 3
/
ATOMIC_SPECIES
Sr 87.62 Sr.upf
Mg 24.30 Mg.upf
Se 78.96 Se.upf
ATOMIC_POSITIONS crystal
Sr 0.0000 0.0000 0.0000
Mg 0.5000 0.5000 0.5000
Se 0.0000 0.5000 0.5000
Se 0.5000 0.0000 0.5000
Se 0.5000 0.5000 0.0000
CELL_PARAMETERS angstrom
5.1328 0.0000 0.0000
0.0000 5.1328 0.0000
0.0000 0.0000 5.1328

! UTa2Ag2Te6 | Alexandria | PBE | optimized geometry; values from VASP
! raw total energy	-5.598	eV/atom
! space group	C2/m (12)
! energy relative to the elements, uncorrected	-185	meV/atom
&SYSTEM
  ibrav = 0, nat = 11, ntyp = 4
/
ATOMIC_SPECIES
U 238.03 U.upf
Ta 180.95 Ta.upf
Ag 107.87 Ag.upf
Te 127.60 Te.upf
ATOMIC_POSITIONS crystal
U 0.0000 0.0000 0.0000
Ta 0.3413 0.6587 0.0000
Ta 0.6587 0.3413 0.0000
Ag 0.1898 0.8102 0.5000
Ag 0.8102 0.1898 0.5000
Te 0.0867 0.4348 0.2273
Te 0.2463 0.2463 0.7620
Te 0.4348 0.0867 0.2273
Te 0.5652 0.9133 0.7727
Te 0.7537 0.7537 0.2380
Te 0.9133 0.5652 0.7727
CELL_PARAMETERS angstrom
3.2665 -5.5606 0.0000
3.2665 5.5606 0.0000
-2.5369 0.0000 8.2988

! CuBrO2 | Alexandria | PBE | optimized geometry; values from VASP
! raw total energy	-4.073	eV/atom
! space group	R-3m (166)
! energy relative to the elements, uncorrected	-152	meV/atom
&SYSTEM
  ibrav = 0, nat = 4, ntyp = 3
/
ATOMIC_SPECIES
Cu 63.55 Cu.upf
Br 79.90 Br.upf
O 16.00 O.upf
ATOMIC_POSITIONS crystal
Cu 0.0000 0.0000 0.0000
Br 0.5000 0.5000 0.5000
O 0.3877 0.3877 0.3877
O 0.6123 0.6123 0.6123
CELL_PARAMETERS angstrom
1.5794 0.9119 5.8788
-1.5794 0.9119 5.8788
0.0000 -1.8238 5.8788

> The highest energy relative to the elements, uncorrected belongs to which entry?

CuBrO2

> What is the formula in the fourth record?

CuBrO2

> Look up the raw total energy of the fourth one.

-4.073 eV/atom